! Y5Sb PBE optimized geometry; values from VASP
&SYSTEM
  ibrav = 0, nat = 6, ntyp = 2
/
ATOMIC_SPECIES
Y 88.91 Y.upf
Sb 121.76 Sb.upf
ATOMIC_POSITIONS crystal
Y 0.000 0.000 0.000
Y 0.160 0.840 0.500
Y 0.332 0.668 0.000
Y 0.668 0.332 0.000
Y 0.840 0.160 0.500
Sb 0.500 0.500 0.500
CELL_PARAMETERS angstrom
2.416 -7.492 0.000
2.416 7.492 0.000
0.000 0.000 4.883
! DFT total energy	-0.234	hartree per atom
! space group	No. 65
! crystal system	orthorhombic
! Fermi-level density of states	1.19	states/eV/atom
! energy above the lowest structure with this stoichiometry	0.0000	eV per atom
! raw formation energy	-0.31	eV/atom